[1]
# Rb2SrPbCl6 PBE relaxed
data_Rb2SrPbCl6
_cell_length_a 7.728
_cell_length_b 8.079
_cell_length_c 11.093
_cell_angle_alpha 90.00
_cell_angle_beta 89.75
_cell_angle_gamma 90.00
_space_group_name_H-M_alt 'P 1'
_space_group_IT_number 1
loop_
_space_group_symop_operation_xyz
'x,y,z'
loop_
_atom_site_label
_atom_site_fract_x
_atom_site_fract_y
_atom_site_fract_z
Rb1 0.022 0.934 0.250
Rb2 0.522 0.566 0.750
Rb3 0.978 0.066 0.750
Rb4 0.478 0.434 0.250
Sr1 0.500 0.000 0.500
Sr2 0.000 0.500 0.000
Pb1 0.500 0.000 0.000
Pb2 0.000 0.500 0.500
Cl1 0.300 0.702 0.055
Cl2 0.800 0.798 0.555
Cl3 0.700 0.298 0.945
Cl4 0.200 0.202 0.445
Cl5 0.302 0.704 0.444
Cl6 0.802 0.796 0.944
Cl7 0.698 0.296 0.556
Cl8 0.198 0.204 0.056
Cl9 0.894 0.536 0.250
Cl10 0.394 0.964 0.750
Cl11 0.106 0.464 0.750
Cl12 0.606 0.036 0.250
# ΔE to the lowest computed polymorph   0.00 kJ per mole of atoms
# Raw total energy   -3.733 eV/atom
# Total moment   0.00 μB per cell
# Space group   No. 14
# Formation energy (no corrections)   -1892.9 meV/atom
# Fermi-level density of states   0.0 states/eV/f.u.

---

[2]
# Pm5Ho2Er PBE relaxed
data_Pm5Ho2Er
_cell_length_a 5.088
_cell_length_b 7.202
_cell_length_c 14.410
_cell_angle_alpha 90.00
_cell_angle_beta 90.00
_cell_angle_gamma 90.00
_space_group_name_H-M_alt 'P 1'
_space_group_IT_number 1
loop_
_space_group_symop_operation_xyz
'x,y,z'
loop_
_atom_site_label
_atom_site_fract_x
_atom_site_fract_y
_atom_site_fract_z
Pm1 0.000 0.000 0.000
Pm2 0.000 0.500 0.500
Pm3 0.000 0.501 0.751
Pm4 0.000 0.499 0.249
Pm5 0.000 0.999 0.251
Pm6 0.000 0.001 0.749
Pm7 0.500 0.251 0.876
Pm8 0.500 0.749 0.124
Pm9 0.500 0.249 0.376
Pm10 0.500 0.751 0.624
Ho1 0.500 0.250 0.624
Ho2 0.500 0.750 0.376
Ho3 0.500 0.250 0.124
Ho4 0.500 0.750 0.876
Er1 0.000 0.000 0.500
Er2 0.000 0.500 0.000
# Formation enthalpy at 0 K   17 meV/atom
# ΔE to the lowest computed polymorph   0.00 kJ per mole of atoms
# Raw total energy   -4.667 eV/atom
# Total moment   0.00 μB per cell
# Space group   No. 55
# Fermi-level density of states   11.4 states/eV/f.u.

---

[3]
# Zr2Sn PBE relaxed
data_Zr2Sn
_cell_length_a 5.286
_cell_length_b 5.335
_cell_length_c 9.763
_cell_angle_alpha 90.00
_cell_angle_beta 90.00
_cell_angle_gamma 90.00
_space_group_name_H-M_alt 'P 1'
_space_group_IT_number 1
loop_
_space_group_symop_operation_xyz
'x,y,z'
loop_
_atom_site_label
_atom_site_fract_x
_atom_site_fract_y
_atom_site_fract_z
Sn1 0.935 0.000 0.168
Sn2 0.935 0.000 0.832
Sn3 0.065 0.500 0.332
Sn4 0.065 0.500 0.668
Zr1 0.461 0.000 0.000
Zr2 0.423 0.000 0.323
Zr3 0.917 0.000 0.500
Zr4 0.423 0.000 0.677
Zr5 0.083 0.500 0.000
Zr6 0.577 0.500 0.177
Zr7 0.539 0.500 0.500
Zr8 0.577 0.500 0.823
# Formation enthalpy at 0 K   -245 meV/atom
# Raw total energy   -7.278 eV/atom
# Total moment   0.00 μB per cell
# Space group   No. 59
# Fermi-level density of states   3.6 states/eV/f.u.

---

[4]
# Ho5In2Pt2 PBE relaxed
data_Ho5In2Pt2
_cell_length_a 7.269
_cell_length_b 8.275
_cell_length_c 8.868
_cell_angle_alpha 117.81
_cell_angle_beta 90.00
_cell_angle_gamma 90.00
_space_group_name_H-M_alt 'P 1'
_space_group_IT_number 1
loop_
_space_group_symop_operation_xyz
'x,y,z'
loop_
_atom_site_label
_atom_site_fract_x
_atom_site_fract_y
_atom_site_fract_z
Ho1 0.000 0.000 0.000
Ho2 0.500 0.500 0.000
Ho3 0.839 0.799 0.239
Ho4 0.161 0.440 0.239
Ho5 0.339 0.940 0.239
Ho6 0.661 0.299 0.239
Ho7 0.161 0.201 0.761
Ho8 0.839 0.560 0.761
Ho9 0.661 0.060 0.761
Ho10 0.339 0.701 0.761
In1 0.000 0.215 0.431
In2 0.500 0.715 0.431
In3 0.000 0.785 0.569
In4 0.500 0.285 0.569
Pt1 0.635 0.872 0.000
Pt2 0.365 0.128 0.000
Pt3 0.135 0.628 0.000
Pt4 0.865 0.372 0.000
# Formation enthalpy at 0 K   -764 meV/atom
# Raw total energy   -5.258 eV/atom
# Total moment   0.00 μB per cell
# Space group   No. 64
# Fermi-level density of states   8.7 states/eV/f.u.

---

[5]
# AcSnPt3 PBE relaxed
data_AcSnPt3
_cell_length_a 4.322
_cell_length_b 4.322
_cell_length_c 6.686
_cell_angle_alpha 71.14
_cell_angle_beta 71.13
_cell_angle_gamma 90.03
_space_group_name_H-M_alt 'P 1'
_space_group_IT_number 1
loop_
_space_group_symop_operation_xyz
'x,y,z'
loop_
_atom_site_label
_atom_site_fract_x
_atom_site_fract_y
_atom_site_fract_z
Ac1 0.373 0.176 0.960
Sn1 0.023 0.827 0.659
Pt1 0.654 0.958 0.397
Pt2 0.154 0.458 0.397
Pt3 0.803 0.607 0.099
# Formation enthalpy at 0 K   -808 meV/atom
# ΔE to the lowest computed polymorph   0.00 kJ per mole of atoms
# Raw total energy   -6.055 eV/atom
# Total moment   0.00 μB per cell
# Space group   No. 107
# Fermi-level density of states   3.0 states/eV/f.u.

---

[6]
# La3Sb4Pd2 PBE relaxed
data_La3Sb4Pd2
_cell_length_a 4.727
_cell_length_b 6.327
_cell_length_c 9.306
_cell_angle_alpha 107.34
_cell_angle_beta 90.00
_cell_angle_gamma 111.94
_space_group_name_H-M_alt 'P 1'
_space_group_IT_number 1
loop_
_space_group_symop_operation_xyz
'x,y,z'
loop_
_atom_site_label
_atom_site_fract_x
_atom_site_fract_y
_atom_site_fract_z
La1 0.633 0.266 0.705
La2 0.000 0.000 0.000
La3 0.367 0.734 0.295
Sb1 0.699 0.397 0.104
Sb2 0.301 0.603 0.896
Sb3 0.920 0.841 0.603
Sb4 0.080 0.159 0.397
Pd1 0.688 0.376 0.398
Pd2 0.312 0.624 0.602
# Raw total energy   -5.616 eV/atom
# Total moment   0.00 μB per cell
# Space group   No. 12
# Formation energy (no corrections)   -987.7 meV/atom
# Fermi-level density of states   4.3 states/eV/f.u.

---

Question: What is the raw total energy in the second record?
Answer: -4.667 eV/atom